VASP calculation (PBE) on a relaxed structure of MnAsPt.

Unit cell a=2.9633 b=2.9633 c=6.2543 alpha=90.00 beta=90.00 gamma=120.00
Space group P3m1 (No. 156)
One atom of each set of equivalent atoms:
Mn  0.0000  0.0000  0.0000 (multiplicity 1)
As  0.3333  0.6667  0.6859 (multiplicity 1)
Pt  0.6667  0.3333  0.3206 (multiplicity 1)

Calculated formation energy: 2 kJ/mol of formula units
Size of the total moment: 3.74 μB per cell

---

VASP calculation (PBE) on a relaxed structure of AlRh2Br.

Unit cell a=4.5077 b=4.5077 c=3.0565 alpha=90.00 beta=90.00 gamma=90.00
Space group P4/mmm (No. 123)
One atom of each set of equivalent atoms:
Al  0.0000  0.0000  0.0000 (multiplicity 1)
Rh  0.0000  0.5000  0.5000 (multiplicity 2)
Br  0.5000  0.5000  0.0000 (multiplicity 1)

Size of the total moment: 0.00 μB per cell
Energy relative to the elements, uncorrected: 60 meV/atom
Energy relative to the lowest polymorph listed for this composition: 0.377 eV/atom

---

VASP calculation (PBE) on a relaxed structure of K3Er2MnS6.

Unit cell a=6.7279 b=11.8657 c=7.6642 alpha=90.00 beta=106.78 gamma=90.00
Space group C2/m (No. 12)
One atom of each set of equivalent atoms:
K  0.0000  0.0000  0.0000 (multiplicity 2)
K  0.0000  0.3321  0.0000 (multiplicity 4)
Er  0.0000  0.1691  0.5000 (multiplicity 4)
Mn  0.0000  0.5000  0.5000 (multiplicity 2)
S  0.2282  0.3400  0.6990 (multiplicity 8)
S  0.2401  0.5000  0.3158 (multiplicity 4)

Size of the total moment: 8.00 μB per cell
Energy relative to the elements, uncorrected: -1482 meV/atom

---

VASP calculation (PBE) on a relaxed structure of Tm2ZrSn.

Unit cell a=4.6447 b=4.6447 c=4.6304 alpha=90.00 beta=90.00 gamma=90.00
Space group P4/mmm (No. 123)
One atom of each set of equivalent atoms:
Tm  0.0000  0.5000  0.0000 (multiplicity 2)
Zr  0.0000  0.0000  0.5000 (multiplicity 1)
Sn  0.5000  0.5000  0.5000 (multiplicity 1)

Calculated formation energy: -128 kJ/mol of formula units
Size of the total moment: 0.00 μB per cell
Energy relative to the lowest polymorph listed for this composition: 0.000 eV/atom